[1]
MgHRh3 | PBE-GGA | relaxed

Summary:
Magnetization in μB/f.u.: 0.00
Total energy in eV per cell: -56.23
Polymorph energy (0 for the lowest one) in eV per atom: 0.031

Cell: 5.566 5.313 5.312 Å, 64.71 74.06 105.79°
Fractional positions:
H (0.372, 0.098, 0.699)
H (0.873, 0.822, 0.473)
Mg (0.558, 0.048, 0.018)
Mg (0.186, 0.592, 0.934)
Rh (0.051, 0.031, 0.003)
Rh (0.694, 0.615, 0.937)
Rh (0.199, 0.124, 0.427)
Rh (0.693, 0.114, 0.443)
Rh (0.050, 0.537, 0.503)
Rh (0.545, 0.541, 0.499)


[2]
Mg2H5Rh | PBE-GGA | relaxed

Summary:
Magnetization in μB/f.u.: 0.00
Total energy in eV per cell: -57.43
Polymorph energy (0 for the lowest one) in eV per atom: 0.148

Cell: 3.902 5.013 8.814 Å, 90.00 90.00 112.91°
Fractional positions:
Mg (0.855, 0.710, 0.423)
Mg (0.855, 0.710, 0.077)
Mg (0.145, 0.290, 0.577)
Mg (0.145, 0.290, 0.923)
H (0.935, 0.869, 0.875)
H (0.935, 0.869, 0.625)
H (0.338, 0.675, 0.398)
H (0.338, 0.675, 0.102)
H (0.697, 0.394, 0.250)
H (0.303, 0.606, 0.750)
H (0.662, 0.325, 0.602)
H (0.662, 0.325, 0.898)
H (0.065, 0.131, 0.125)
H (0.065, 0.131, 0.375)
Rh (0.788, 0.577, 0.750)
Rh (0.212, 0.423, 0.250)


| no. | DOS at the Fermi energy (states/eV per atom) |
| --- | --- |
| 1 | 0.771 |
| 2 | 0.204 |